No. 1
Material: SmPaN
Method: DFT, PBE
State: optimized geometry

Output
Mass density = 7.5 g cm⁻³
Space-group type = I4mm (107)
Formation energy without anion corrections = 395 meV/atom
ΔE to the lowest computed polymorph = 3.65 eV/f.u.

a = 4.673 Å, b = 4.673 Å, c = 5.203 Å
α = 116.69°, β = 116.69°, γ = 90.00°
Each line ends with the local moment (μB).
Atoms (fractional coordinates):
Pa 0.365 0.365 0.729  0.59
Sm 0.880 0.880 0.759  0.10
N 0.606 0.606 0.212  -0.02

=====

No. 2
Material: LiC2O
Method: DFT, PBE
State: optimized geometry

Output
Mass density = 2.2 g cm⁻³
Space-group type = I-42d (122)
Formation energy without anion corrections = 1825 meV/atom

a = 4.856 Å, b = 4.856 Å, c = 4.598 Å
α = 58.13°, β = 58.13°, γ = 90.00°
Each line ends with the local moment (μB).
Atoms (fractional coordinates):
C 0.697 0.125 0.250  0.27
C 0.053 0.625 0.250  0.26
C 0.375 0.303 0.750  0.26
C 0.875 0.947 0.750  0.25
O 0.000 0.000 0.000  0.01
O 0.750 0.250 0.500  0.01
Li 0.500 0.500 0.000  0.01
Li 0.250 0.750 0.500  0.00

=====

No. 3
Material: RbTe2SeN
Method: DFT, PBE
State: optimized geometry

Output
Mass density = 4.8 g cm⁻³
Space-group type = P4/mmm (123)
Formation energy without anion corrections = 460 meV/atom
ΔE to the lowest computed polymorph = 0.00 eV/f.u.

a = 6.480 Å, b = 6.480 Å, c = 3.605 Å
α = 90.00°, β = 90.00°, γ = 90.00°
Atoms (fractional coordinates):
Te 0.000 0.500 0.000
Te 0.500 0.000 0.000
Se 0.000 0.000 0.000
Rb 0.500 0.500 0.500
N 0.000 0.000 0.500